This record from Alexandria describes a geometry-optimized DyTm8Pb2 structure. The functional is PBE-GGA.

Cell lengths 8.8371, 8.8371, 6.1816 Å; angles 92.72, 92.72, 43.91 degrees
Closest atoms and distances in Å follow each position.
Atoms (fractional coordinates):
Dy (0.0000, 0.0000, 0.0000)  10 Tm 3.29-3.66
Tm (0.1572, 0.6520, 0.6053)  2 Pb 3.16-3.27, 4 Tm 3.27-3.45, 1 Dy 3.29
Tm (0.2080, 0.2080, 0.8469)  2 Pb 3.15-3.24
Tm (0.3480, 0.8428, 0.3947)  2 Pb 3.16-3.27, 4 Tm 3.27-3.45, 1 Dy 3.29
Tm (0.4186, 0.4186, 0.1219)  1 Pb 3.05, 1 Tm 3.13
Tm (0.5814, 0.5814, 0.8781)  1 Pb 3.05, 1 Tm 3.13
Tm (0.6520, 0.1572, 0.6053)  2 Pb 3.16-3.27, 4 Tm 3.27-3.45, 1 Dy 3.29
Tm (0.7920, 0.7920, 0.1531)  2 Pb 3.15-3.24
Tm (0.8428, 0.3480, 0.3947)  2 Pb 3.16-3.27, 4 Tm 3.27-3.45, 1 Dy 3.29
Pb (0.2572, 0.2572, 0.3455)  7 Tm 3.05-3.27
Pb (0.7428, 0.7428, 0.6545)  7 Tm 3.05-3.27

Output
- N(E_F) (states/eV per cell) = 15.09
- total magnetic moment (μB/cell) = 0.0
- symmetry = C2/m, No. 12
- final energy (eV per atom) = -4.401
- ΔH_f (0 K) (eV per formula unit) = -0.6

This record from Alexandria describes a geometry-optimized Dy3Tm5Pb2 structure. The functional is PBE-GGA.

Cell lengths 10.5637, 10.5637, 10.5637 Å; angles 106.48, 83.92, 145.30 degrees
Closest atoms and distances in Å follow each position.
Atoms (fractional coordinates):
Dy (0.2162, 0.1193, 0.3355)  4 Pb 3.33-3.66, 4 Tm 3.40-3.68
Dy (0.2500, 0.2500, 0.0000)  2 Dy 3.15, 2 Tm 3.19, 4 Pb 3.36
Dy (0.2838, 0.6193, 0.9032)  4 Pb 3.33-3.66, 4 Tm 3.40-3.68
Dy (0.7162, 0.3807, 0.0968)  4 Pb 3.33-3.66, 4 Tm 3.40-3.68
Dy (0.7500, 0.7500, 0.0000)  2 Dy 3.15, 2 Tm 3.19, 4 Pb 3.36
Dy (0.7838, 0.8807, 0.6645)  4 Pb 3.33-3.66, 4 Tm 3.40-3.68
Tm (0.1635, 0.3957, 0.5592)  1 Pb 2.98, 2 Tm 3.29
Tm (0.2500, 0.5019, 0.2519)  3 Tm 3.14-3.15, 2 Pb 3.14, 1 Dy 3.19
Tm (0.2500, 0.7500, 0.5000)  8 Tm 3.14-3.29
Tm (0.2500, 0.9981, 0.7481)  3 Tm 3.14-3.15, 2 Pb 3.14, 1 Dy 3.19
Tm (0.3365, 0.8957, 0.2322)  1 Pb 2.98, 2 Tm 3.29
Tm (0.6635, 0.1043, 0.7678)  1 Pb 2.98, 2 Tm 3.29
Tm (0.7500, 0.0019, 0.2519)  3 Tm 3.14-3.15, 2 Pb 3.14, 1 Dy 3.19
Tm (0.7500, 0.2500, 0.5000)  8 Tm 3.14-3.29
Tm (0.7500, 0.4981, 0.7481)  3 Tm 3.14-3.15, 2 Pb 3.14, 1 Dy 3.19
Tm (0.8365, 0.6043, 0.4408)  1 Pb 2.98, 2 Tm 3.29
Pb (0.1493, 0.8561, 0.0055)  3 Tm 2.98-3.14, 2 Dy 3.33
Pb (0.3507, 0.3561, 0.7068)  3 Tm 2.98-3.14, 2 Dy 3.33
Pb (0.6493, 0.6439, 0.2932)  3 Tm 2.98-3.14, 2 Dy 3.33
Pb (0.8507, 0.1439, 0.9945)  3 Tm 2.98-3.14, 2 Dy 3.33

Output
- N(E_F) (states/eV per cell) = 20.83
- total magnetic moment (μB/cell) = 0.0
- symmetry = Ibam, No. 72
- final energy (eV per atom) = -4.296
- ΔH_f (0 K) (eV per formula unit) = 0.6

This record from Alexandria describes a geometry-optimized DyTm4Pb structure. The functional is PBE-GGA.

Cell lengths 11.5458, 11.5458, 6.7123 Å; angles 90.00, 90.00, 153.65 degrees
Closest atoms and distances in Å follow each position.
Atoms (fractional coordinates):
Dy (0.1425, 0.8575, 0.5000)  10 Tm 3.33-3.71, 2 Pb 3.45
Dy (0.8575, 0.1425, 0.0000)  10 Tm 3.33-3.71, 2 Pb 3.45
Tm (0.1462, 0.8538, 0.0044)  2 Dy 3.33-3.39, 8 Tm 3.44-3.63, 2 Pb 3.54
Tm (0.2869, 0.7131, 0.2541)  1 Pb 3.10, 6 Tm 3.14-3.46
Tm (0.2894, 0.7106, 0.7530)  7 Tm 3.14-3.44, 2 Dy 3.47
Tm (0.4395, 0.5605, 0.7387)  3 Pb 3.05-3.41, 1 Tm 3.38
Tm (0.5605, 0.4395, 0.2387)  3 Pb 3.05-3.41, 1 Tm 3.38
Tm (0.7106, 0.2894, 0.2530)  7 Tm 3.14-3.44, 2 Dy 3.47
Tm (0.7131, 0.2869, 0.7541)  1 Pb 3.10, 6 Tm 3.14-3.46
Tm (0.8538, 0.1462, 0.5044)  2 Dy 3.33-3.39, 8 Tm 3.44-3.63, 2 Pb 3.54
Pb (0.4248, 0.5752, 0.2442)  4 Tm 3.05-3.41
Pb (0.5752, 0.4248, 0.7442)  4 Tm 3.05-3.41

Output
- N(E_F) (states/eV per cell) = 14.48
- total magnetic moment (μB/cell) = 0.0
- symmetry = Cmc2_1, No. 36
- final energy (eV per atom) = -4.331
- ΔH_f (0 K) (eV per formula unit) = 0.2

This record from Alexandria describes a geometry-optimized DyTmPb6 structure. The functional is PBE-GGA.

Cell lengths 4.8700, 4.8700, 9.7414 Å; angles 90.00, 90.00, 90.00 degrees
Closest atoms and distances in Å follow each position.
Atoms (fractional coordinates):
Dy (0.0000, 0.0000, 0.0000)  12 Pb 3.44-3.45
Tm (0.0000, 0.0000, 0.5000)  12 Pb 3.43-3.44
Pb (0.0000, 0.5000, 0.2513)  8 Pb 3.43-3.45, 2 Tm 3.43, 2 Dy 3.45
Pb (0.0000, 0.5000, 0.7487)  8 Pb 3.43-3.45, 2 Tm 3.43, 2 Dy 3.45
Pb (0.5000, 0.0000, 0.2513)  8 Pb 3.43-3.45, 2 Tm 3.43, 2 Dy 3.45
Pb (0.5000, 0.0000, 0.7487)  8 Pb 3.43-3.45, 2 Tm 3.43, 2 Dy 3.45
Pb (0.5000, 0.5000, 0.0000)  4 Dy 3.44, 8 Pb 3.45
Pb (0.5000, 0.5000, 0.5000)  8 Pb 3.43, 4 Tm 3.44

Output
- N(E_F) (states/eV per cell) = 4.71
- total magnetic moment (μB/cell) = 0.0
- symmetry = P4/mmm, No. 123
- final energy (eV per atom) = -4.162
- ΔH_f (0 K) (eV per formula unit) = -2.0

This record from Alexandria describes a geometry-optimized Dy5Tm2Pb4 structure. The functional is PBE-GGA.

Cell lengths 17.8480, 17.8480, 5.6068 Å; angles 95.87, 95.87, 10.96 degrees
Closest atoms and distances in Å follow each position.
Atoms (fractional coordinates):
Dy (0.0000, 0.0000, 0.0000)  2 Dy 3.41, 4 Tm 3.57, 8 Pb 3.67-3.68
Dy (0.3053, 0.3053, 0.8718)  5 Pb 3.23-3.45, 4 Dy 3.40-3.46
Dy (0.3613, 0.3613, 0.4146)  3 Pb 3.26, 2 Tm 3.29-3.34, 4 Dy 3.40-3.46
Dy (0.6387, 0.6387, 0.5854)  3 Pb 3.26, 2 Tm 3.29-3.34, 4 Dy 3.40-3.46
Dy (0.6947, 0.6947, 0.1282)  5 Pb 3.23-3.45, 4 Dy 3.40-3.46
Tm (0.4113, 0.4113, 0.9421)  2 Pb 3.17-3.18, 2 Dy 3.29-3.34, 2 Tm 3.41
Tm (0.5887, 0.5887, 0.0579)  2 Pb 3.17-3.18, 2 Dy 3.29-3.34, 2 Tm 3.41
Pb (0.2174, 0.2174, 0.6586)  7 Dy 3.23-3.45, 4 Pb 3.41-3.51
Pb (0.4534, 0.4534, 0.4683)  2 Tm 3.17-3.18, 1 Dy 3.26, 3 Pb 3.29-3.41
Pb (0.5466, 0.5466, 0.5317)  2 Tm 3.17-3.18, 1 Dy 3.26, 3 Pb 3.29-3.41
Pb (0.7826, 0.7826, 0.3414)  7 Dy 3.23-3.45, 4 Pb 3.41-3.51

Output
- N(E_F) (states/eV per cell) = 13.70
- total magnetic moment (μB/cell) = 1.0
- symmetry = C2/m, No. 12
- final energy (eV per atom) = -4.276
- ΔH_f (0 K) (eV per formula unit) = -0.3

This record from Alexandria describes a geometry-optimized Dy5TmPb5 structure. The functional is PBE-GGA.

Cell lengths 8.4822, 8.4822, 7.3344 Å; angles 102.47, 102.47, 43.26 degrees
Closest atoms and distances in Å follow each position.
Atoms (fractional coordinates):
Dy (0.0000, 0.0000, 0.0000)  4 Pb 3.12-3.16
Dy (0.3373, 0.3373, 0.1687)  5 Pb 3.10-3.19
Dy (0.3372, 0.3372, 0.6717)  5 Pb 3.11-3.20
Dy (0.6628, 0.6628, 0.3283)  5 Pb 3.11-3.20
Dy (0.6627, 0.6627, 0.8313)  5 Pb 3.10-3.19
Tm (0.0000, 0.0000, 0.5000)  6 Pb 3.13-3.16
Pb (0.1662, 0.1662, 0.8376)  5 Dy 3.12-3.20, 1 Tm 3.16
Pb (0.1673, 0.1673, 0.3342)  5 Dy 3.13-3.20, 1 Tm 3.15
Pb (0.5000, 0.5000, 0.5000)  4 Dy 3.10-3.11, 2 Tm 3.13
Pb (0.8327, 0.8327, 0.6658)  5 Dy 3.13-3.20, 1 Tm 3.15
Pb (0.8338, 0.8338, 0.1624)  5 Dy 3.12-3.20, 1 Tm 3.16

Output
- N(E_F) (states/eV per cell) = 8.49
- total magnetic moment (μB/cell) = 0.0
- symmetry = C2/m, No. 12
- final energy (eV per atom) = -4.442
- ΔH_f (0 K) (eV per formula unit) = -2.8